A plane-wave DFT calculation with GGA-PBEsol was carried out for an optimized crystal structure of Sr2Cu3.

Geometry as POSCAR:
```
Sr2Cu3
1.0
4.267 0.000 0.000
-2.134 3.695 0.000
0.000 0.000 22.996
Sr Cu
6 9
Direct
0.000 0.000 0.087
0.000 0.000 0.913
0.333 0.667 0.580
0.333 0.667 0.753
0.667 0.333 0.247
0.667 0.333 0.420
0.000 0.000 0.334
0.000 0.000 0.500
0.000 0.000 0.666
0.333 0.667 0.001
0.333 0.667 0.167
0.333 0.667 0.332
0.667 0.333 0.668
0.667 0.333 0.833
0.667 0.333 0.999
```

Uncorrected energy = -16.29 eV per formula unit
Calculated volume = 362.6 Å³/cell
Energy of formation from the pure elements = 38 kJ/mol of formula units
Space group = No. 166



A plane-wave DFT calculation with GGA-PBEsol was carried out for an optimized crystal structure of RePOs2.

Geometry as POSCAR:
```
RePOs2
1.0
4.455 0.000 0.000
0.000 4.455 0.000
0.000 0.000 2.815
Re P Os
1 1 2
Direct
0.000 0.000 0.000
0.500 0.500 0.000
0.000 0.500 0.500
0.500 0.000 0.500
```

Uncorrected energy = -41.45 eV per formula unit
Calculated volume = 55.9 Å³/cell
Energy of formation from the pure elements = 204 kJ/mol of formula units
Space group = No. 123



Question: The lowest uncorrected energy belongs to which entry?
Answer: RePOs2